(1)
A plane-wave DFT calculation with PBE was carried out for a relaxed Si2TeSe crystal.

a = 4.8891 Å, b = 4.8891 Å, c = 4.8891 Å
α = 60.00°, β = 60.00°, γ = 60.00°
Last column: nearest neighbours and their distance in Å.
Element x y z (fractional)
Si  0.2500  0.2500  0.2500  4 Se 2.99, 4 Te 2.99
Si  0.7500  0.7500  0.7500  4 Se 2.99, 4 Te 2.99
Se  0.0000  0.0000  0.0000  8 Si 2.99
Te  0.5000  0.5000  0.5000  8 Si 2.99

- E above lowest polymorph: 0.598 eV/atom
- Uncorrected formation energy: 0.532 eV per atom

(2)
A plane-wave DFT calculation with PBE was carried out for a relaxed KTl2TeSe6 crystal.

a = 8.6892 Å, b = 9.8613 Å, c = 9.8613 Å
α = 71.94°, β = 65.82°, γ = 65.82°
Last column: nearest neighbours and their distance in Å.
Element x y z (fractional)
Tl  0.0512  0.3667  0.1830  4 Se 2.87-2.99
Tl  0.4488  0.8170  0.6333  4 Se 2.87-2.99
Tl  0.5512  0.1830  0.3667  4 Se 2.87-2.99
Tl  0.9488  0.6333  0.8170  4 Se 2.87-2.99
Se  0.8964  0.3476  0.9716  1 Te 2.83, 2 Tl 2.88-2.99, 1 Se 2.92
Se  0.2189  0.4224  0.4502  1 Se 2.35
Se  0.3964  0.9716  0.3476  1 Te 2.83, 2 Tl 2.88-2.99, 1 Se 2.92
Se  0.2811  0.5498  0.5776  1 Se 2.35
Se  0.1036  0.6524  0.0284  1 Te 2.83, 2 Tl 2.88-2.99, 1 Se 2.92
Se  0.3488  0.1205  0.0541  1 Te 2.71, 2 Se 2.80-2.92, 1 Tl 2.88
Se  0.7189  0.4502  0.4224  1 Se 2.35
Se  0.6036  0.0284  0.6524  1 Te 2.83, 2 Tl 2.88-2.99, 1 Se 2.92
Se  0.7811  0.5776  0.5498  1 Se 2.35
Se  0.1512  0.9459  0.8795  1 Te 2.71, 2 Se 2.80-2.92, 1 Tl 2.88
Se  0.6512  0.8795  0.9459  1 Te 2.71, 2 Se 2.80-2.92, 1 Tl 2.88
Se  0.8488  0.0541  0.1205  1 Te 2.71, 2 Se 2.80-2.92, 1 Tl 2.88
K  0.7500  0.2213  0.7787  8 Se 3.40-3.73
K  0.2500  0.7787  0.2213  8 Se 3.40-3.73
Te  0.2500  0.1934  0.8066  4 Se 2.71-2.83
Te  0.7500  0.8066  0.1934  4 Se 2.71-2.83

- Uncorrected formation energy: -0.245 eV per atom

(3)
A plane-wave DFT calculation with PBE was carried out for a relaxed Ca2Pr5Y2 crystal.

a = 3.6439 Å, b = 12.5775 Å, c = 10.7999 Å
α = 52.67°, β = 70.38°, γ = 98.38°
Last column: nearest neighbours and their distance in Å.
Element x y z (fractional)
Y  0.2856  0.3404  0.8860  7 Pr 3.48-3.61, 2 Y 3.64, 2 Ca 3.68
Y  0.7144  0.6596  0.1140  7 Pr 3.48-3.61, 2 Y 3.64, 2 Ca 3.68
Pr  0.0510  0.6468  0.7736  3 Y 3.58-3.61, 6 Pr 3.64-3.93
Pr  0.0000  0.0000  0.0000  2 Y 3.52, 6 Pr 3.64-3.71, 4 Ca 3.78
Pr  0.9490  0.3532  0.2264  3 Y 3.58-3.61, 6 Pr 3.64-3.93
Pr  0.0814  0.3335  0.5853  3 Y 3.48-3.61, 6 Pr 3.64-3.71, 1 Ca 3.72
Pr  0.9186  0.6665  0.4147  3 Y 3.48-3.61, 6 Pr 3.64-3.71, 1 Ca 3.72
Ca  0.7959  0.9798  0.6924  3 Ca 3.58-3.64, 2 Y 3.68, 3 Pr 3.72-3.78
Ca  0.2041  0.0202  0.3076  3 Ca 3.58-3.64, 2 Y 3.68, 3 Pr 3.72-3.78

- DFT formation energy: 54 meV/atom

(4)
A plane-wave DFT calculation with PBE was carried out for a relaxed Ac2Dy3Y6 crystal.

a = 6.2259 Å, b = 6.2289 Å, c = 12.0209 Å
α = 85.04°, β = 80.04°, γ = 60.02°
Last column: nearest neighbours and their distance in Å.
Element x y z (fractional)
Dy  0.6649  0.6701  0.0000  6 Y 3.51-3.53, 6 Dy 3.56-3.62
Dy  0.0000  0.0000  0.0000  6 Y 3.52-3.53, 6 Dy 3.59-3.62
Dy  0.3351  0.3299  0.0000  6 Y 3.51-3.53, 6 Dy 3.56-3.62
Y  0.2540  0.0000  0.2403  3 Dy 3.51-3.53, 6 Y 3.59-3.60, 2 Ac 3.71
Y  0.4134  0.6674  0.7600  3 Dy 3.52-3.53, 6 Y 3.59-3.60, 2 Ac 3.71
Y  0.0809  0.3326  0.7600  3 Dy 3.52-3.53, 6 Y 3.59-3.60, 2 Ac 3.71
Y  0.9191  0.6674  0.2400  3 Dy 3.52-3.53, 6 Y 3.59-3.60, 2 Ac 3.71
Y  0.7460  0.0000  0.7597  3 Dy 3.51-3.53, 6 Y 3.59-3.60, 2 Ac 3.71
Y  0.5866  0.3326  0.2400  3 Dy 3.52-3.53, 6 Y 3.59-3.60, 2 Ac 3.71
Ac  0.1668  0.6665  0.5000  3 Ac 3.59-3.60, 6 Y 3.71
Ac  0.8332  0.3335  0.5000  3 Ac 3.59-3.60, 6 Y 3.71

- DFT formation energy: 189 meV/atom

(5)
A plane-wave DFT calculation with PBE was carried out for a relaxed Zn2OF crystal.

a = 3.4832 Å, b = 3.4832 Å, c = 6.0787 Å
α = 73.35°, β = 73.35°, γ = 60.00°
Last column: nearest neighbours and their distance in Å.
Element x y z (fractional)
O  0.5000  0.5000  0.5000  6 Zn 2.21
Zn  0.8872  0.8872  0.3384  1 F 1.94
Zn  0.1128  0.1128  0.6616  1 F 1.94
F  0.0000  0.0000  0.0000  2 Zn 1.94

- E above lowest polymorph: 0.141 eV/atom
- Uncorrected formation energy: -1.177 eV per atom

(6)
A plane-wave DFT calculation with PBE was carried out for a relaxed Mg3MoH7 crystal.

a = 5.6010 Å, b = 5.6010 Å, c = 6.4761 Å
α = 90.00°, β = 90.00°, γ = 111.88°
Last column: nearest neighbours and their distance in Å.
Element x y z (fractional)
H  0.1535  0.4106  0.0246  1 Mo 1.82, 2 Mg 1.98-2.03
H  0.5894  0.8465  0.9754  1 Mo 1.82, 2 Mg 1.98-2.03
H  0.6440  0.6440  0.2500  2 Mo 1.85
H  0.8465  0.5894  0.9754  1 Mo 1.82, 2 Mg 1.98-2.03
H  0.8465  0.5894  0.5246  1 Mo 1.82, 2 Mg 1.98-2.03
H  0.8845  0.1427  0.7500  4 Mg 1.94-2.02
H  0.8573  0.1155  0.2500  4 Mg 1.94-2.02
H  0.4106  0.1535  0.4754  1 Mo 1.82, 2 Mg 1.98-2.03
H  0.1155  0.8573  0.2500  4 Mg 1.94-2.02
H  0.1535  0.4106  0.4754  1 Mo 1.82, 2 Mg 1.98-2.03
H  0.5894  0.8465  0.5246  1 Mo 1.82, 2 Mg 1.98-2.03
H  0.1427  0.8845  0.7500  4 Mg 1.94-2.02
H  0.3560  0.3560  0.7500  2 Mo 1.85
H  0.4106  0.1535  0.0246  1 Mo 1.82, 2 Mg 1.98-2.03
Mo  0.5000  0.5000  0.5000  6 H 1.82-1.85
Mo  0.5000  0.5000  0.0000  6 H 1.82-1.85
Mg  0.9540  0.4856  0.2500  6 H 1.94-2.03
Mg  0.0000  0.0000  0.0000  8 H 2.02-2.14
Mg  0.0460  0.5144  0.7500  6 H 1.94-2.03
Mg  0.4856  0.9540  0.2500  6 H 1.94-2.03
Mg  0.0000  0.0000  0.5000  8 H 2.02-2.14
Mg  0.5144  0.0460  0.7500  6 H 1.94-2.03

- E: -3.69 eV per atom

| no. | magnetization (μB per cell) | density (Mg/m³) | DOS at the Fermi energy (states/eV per cell) |
| --- | --- | --- | --- |
| 1 | 0.0 | 5.28 | 2.62 |
| 2 | 0.0 | 5.03 | 5.10 |
| 3 | 0.0 | 4.87 | 13.24 |
| 4 | 0.0 | 6.16 | 18.14 |
| 5 | 0.0 | 4.57 | 0.89 |
| 6 | 0.9 | 3.10 | 4.18 |